This record from Alexandria via LeMat-Bulk describes crystalline TmPClO4 at its relaxed geometry. The functional is PBE-GGA.

Calculated values
**Formation energy (no corrections)**: -17.40 eV/f.u.
**Magnetic moment**: 0.0 Bohr magnetons per cell

```
data_TmPClO4
_cell_length_a 10.6111
_cell_length_b 6.4096
_cell_length_c 6.4972
_cell_angle_alpha 90.00
_cell_angle_beta 101.10
_cell_angle_gamma 90.00
_symmetry_space_group_name_H-M 'C 1 2/m 1'
_symmetry_Int_Tables_number 12
loop_
_symmetry_equiv_pos_as_xyz
'x,y,z'
'-x,-y,-z'
'-x,y,-z'
'x,-y,z'
'x+1/2,y+1/2,z'
'-x+1/2,-y+1/2,-z'
'-x+1/2,y+1/2,-z'
'x+1/2,-y+1/2,z'
loop_
_atom_site_label
_atom_site_fract_x
_atom_site_fract_y
_atom_site_fract_z
Tm1 0.2062 0.0000 0.3380
P1 0.1460 0.0000 0.7761
Cl1 0.0302 0.5000 0.3641
O1 0.0013 0.0000 0.2559
O2 0.1934 0.1883 0.6547
O3 0.2094 0.0000 0.0070
```